(w)
Ho2Zn5Ga3 PBE optimized geometry; D(E_F) = 4.46 states/eV/f.u.
1.0
-0.290 -4.043 -0.775
-0.416 -0.744 4.038
-10.652 0.941 -0.925
Ga Zn Ho
3 5 2
Cartesian
-5.326 0.471 -0.462
-7.001 -1.416 -0.983
-4.004 -0.037 1.689
-0.353 -2.394 1.631
-1.627 -0.247 1.896
0.000 0.000 0.000
-9.379 -1.206 -1.189
-5.679 -1.923 1.169
-8.191 0.333 1.326
-2.814 -1.786 -0.619

***

(x)
Ho2Zn5Ga3 PBE optimized geometry; D(E_F) = 3.28 states/eV/f.u.
1.0
5.476 0.000 2.072
2.403 7.839 1.922
-0.054 -0.273 8.416
Zn Ho Ga
10 4 6
Cartesian
3.313 1.919 3.651
5.281 3.783 6.723
6.051 1.919 4.686
1.773 5.646 7.723
5.210 5.782 2.774
2.543 3.783 5.687
0.675 -0.150 6.487
4.510 5.646 8.759
2.614 1.784 9.635
7.148 7.715 5.922
3.680 0.792 6.818
2.184 4.892 2.499
4.144 6.774 5.592
5.640 2.674 9.910
4.651 3.985 4.252
6.606 5.877 7.355
1.217 1.688 5.054
4.107 0.000 1.554
3.173 3.581 8.158
1.369 0.000 0.518

***

Most stable to least stable, the ends of the list are (x) and (w).

***

(w)
Ho3ZnGa2 PBE optimized geometry; D(E_F) = 3.90 states/eV/f.u.
1.0
-1.517 -2.997 1.131
3.201 -1.366 0.673
-0.402 3.955 9.940
Ho Ga Zn
3 2 1
Cartesian
0.000 0.000 0.000
-0.267 2.624 6.595
-0.135 1.331 3.345
0.773 -1.503 2.607
0.509 1.095 9.137
0.641 -0.204 5.872

***

(x)
Ho3ZnGa2 PBE optimized geometry; D(E_F) = 3.27 states/eV/f.u.
1.0
-4.433 1.442 -1.884
0.217 -2.191 4.520
1.339 11.007 5.272
Ho Zn Ga
6 2 4
Cartesian
-0.105 9.118 7.222
-2.103 6.640 3.320
-2.772 1.139 0.686
0.334 2.750 1.317
1.004 8.258 3.955
-0.774 3.618 4.588
-2.438 3.884 2.001
-0.438 6.373 5.907
-1.102 0.917 3.294
0.000 0.000 0.000
0.669 5.504 2.636
-1.775 9.341 4.614

***

Most stable to least stable, the ends of the list are (x) and (w).

***

(w)
Ho2Zn3Ga2 PBE optimized geometry; D(E_F) = 2.56 states/eV/f.u.
1.0
-2.138 0.028 -2.635
-2.688 -2.309 2.156
-2.944 9.477 2.490
Ga Ho Zn
2 2 3
Cartesian
-3.524 4.780 0.726
-4.245 2.416 1.285
-1.311 2.545 1.091
-4.320 4.623 3.555
-4.797 7.250 1.785
0.000 0.000 0.000
-2.972 -0.054 0.226

***

(x)
Ho2Zn3Ga2 PBE optimized geometry; D(E_F) = 3.37 states/eV/f.u.
1.0
4.298 0.000 0.000
-2.149 4.942 -1.651
0.000 -0.471 6.481
Zn Ho Ga
3 2 2
Cartesian
2.149 0.000 0.000
2.149 0.712 2.429
0.000 3.759 2.402
2.149 3.326 0.367
0.000 1.144 4.463
0.000 1.360 1.114
2.149 3.110 3.716

***

Most stable to least stable, the ends of the list are (x) and (w).